An optimized crystal structure of CaMn2CuO4, computed with GGA+U.

Summary:
- space-group type = Cmcm, No. 63
- spin magnetization (μB/cell) = 17.98
- E_tot (eV per atom) = -6.705

Lattice parameters (Å, degrees): 5.636 5.636 11.043 90.00 90.00 147.18
Fractional positions:
Ca (0.124, 0.876, 0.750)
Ca (0.876, 0.124, 0.250)
Mn (0.371, 0.629, 0.545)
Mn (0.371, 0.629, 0.955)
Mn (0.629, 0.371, 0.045)
Mn (0.629, 0.371, 0.455)
Cu (0.140, 0.860, 0.250)
Cu (0.860, 0.140, 0.750)
O (0.000, 0.000, 0.000)
O (0.000, 0.000, 0.500)
O (0.265, 0.735, 0.115)
O (0.265, 0.735, 0.385)
O (0.466, 0.534, 0.750)
O (0.534, 0.466, 0.250)
O (0.735, 0.265, 0.615)
O (0.735, 0.265, 0.885)